## BeZnTc2 (PBE)

Data for a geometry-optimized BeZnTc2 structure.

* DFT total energy: -6.3606 eV/atom
* polymorph energy (0 for the lowest one): 110.2 meV per atom
* space group: P4/mmm, No. 123
* ΔE_f: 72 meV/atom

Lattice parameters (Å, degrees): 2.8929 2.8929 6.1547 90.00 90.00 90.00
With the nearest neighbours (Å) after each atom.
Sites, in units of the cell vectors:
Be: 0.5000 0.5000 0.7500  8 Tc 2.40
Zn: 0.5000 0.5000 0.2500  8 Tc 2.74, 4 Zn 2.89
Tc: 0.0000 0.0000 0.9541  4 Be 2.40, 1 Tc 2.51
Tc: 0.0000 0.0000 0.5459  4 Be 2.40, 1 Tc 2.51